Record 1
14
Lattice="6.570 0.000 -0.017 0.000 6.721 0.000 -2.597 0.000 8.336" Properties=species:S:1:pos:R:3 comment="KCaVS4 | Alexandria via LeMat-Bulk | PBE-GGA | relaxed" final_energy_ev_per_fu=-37.95 spacegroup="No. 11" mass_density_g_cm3=2.3 pbc="T T T"
S 1.665 1.680 6.947
K 2.372 5.041 7.775
S 2.779 1.680 3.597
K 1.601 1.680 0.544
S 1.194 5.041 4.722
Ca 3.903 5.041 3.762
S 4.682 3.376 6.003
S 2.308 5.041 1.372
S -0.710 0.016 2.316
S 4.682 6.705 6.003
Ca 0.070 1.680 4.557
V 3.382 1.680 5.646
V 0.591 5.041 2.673
S -0.710 3.345 2.316


Record 2
5
Lattice="6.128 0.000 0.000 0.000 4.676 0.000 0.000 0.000 6.128" Properties=species:S:1:pos:R:3 comment="Ba2LiPtAu | Alexandria via LeMat-Bulk | PBE-GGA | relaxed" e_above_lowest_polymorph_ev_per_atom=0.3993 spacegroup="No. 123" mass_density_g_cm3=6.4 pbc="T T T"
Au 0.000 0.000 0.000
Ba 0.000 0.000 3.064
Pt 3.064 2.338 3.064
Ba 3.064 0.000 0.000
Li 0.000 2.338 0.000


Record 3
18
Lattice="6.501 -0.231 -0.223 1.609 9.205 -0.648 1.609 -0.349 9.221" Properties=species:S:1:pos:R:3 comment="CeY2Tm6 | Alexandria via LeMat-Bulk | PBE-GGA | relaxed" e_above_lowest_polymorph_ev_per_atom=0.0385 spacegroup="No. 15" mass_density_g_cm3=7.9 pbc="T T T"
Tm 8.120 8.293 6.422
Tm 5.620 0.170 4.038
Ce 6.485 7.873 0.382
Tm 1.726 6.505 2.679
Tm 7.351 4.468 8.200
Tm 4.101 8.455 4.312
Y 2.920 5.389 5.733
Y 6.801 3.236 2.617
Tm 4.977 2.773 6.303
Tm 4.743 5.852 2.047
Y 3.550 2.836 3.261
Y 6.170 5.789 5.089
Tm 4.851 1.822 0.158
Ce 3.235 0.752 7.968
Tm 4.869 6.803 8.192
Tm 2.369 4.157 0.150
Tm 1.600 0.332 1.927
Tm 7.994 2.120 5.671


Record 4
13
Lattice="6.749 -0.069 0.000 -4.637 4.904 0.000 -1.056 -2.418 6.212" Properties=species:S:1:pos:R:3 comment="TmZn12 | Alexandria via LeMat-Bulk | PBE-GGA | relaxed" e_above_lowest_polymorph_ev_per_atom=0.0000 spacegroup="No. 139" mass_density_g_cm3=7.8 pbc="T T T"
Zn 2.290 1.879 1.347
Zn 1.234 -0.539 4.866
Zn 3.374 -0.034 0.000
Zn -0.528 -1.209 3.106
Zn 3.688 -1.611 4.025
Zn -2.318 2.452 0.000
Zn 2.005 -0.876 2.187
Zn -3.688 1.611 4.025
Zn -2.005 0.876 2.187
Zn -1.234 0.539 4.866
Zn -0.178 2.957 1.347
Tm 0.000 0.000 0.000
Zn 0.528 1.209 3.106


Record 5
4
Lattice="-2.044 2.356 -1.645 0.727 -1.529 -3.093 -5.520 -4.232 0.795" Properties=species:S:1:pos:R:3 comment="AcCdCu2 | Alexandria via LeMat-Bulk | PBE-GGA | relaxed" final_energy_ev_per_fu=-13.08 spacegroup="No. 123" mass_density_g_cm3=8.9 pbc="T T T"
Cd -0.659 0.414 -2.369
Cu -1.060 -0.813 0.153
Cu -4.460 -3.419 0.643
Ac -3.418 -1.703 -1.971


Record 6
8
Lattice="-4.276 0.955 -1.398 0.859 -2.048 -4.027 -3.195 -4.628 -0.954" Properties=species:S:1:pos:R:3 comment="ScCrN2 | Alexandria via LeMat-Bulk | PBE-GGA | relaxed" final_energy_ev_per_fu=-36.47 spacegroup="No. 122" mass_density_g_cm3=4.2 pbc="T T T"
N -5.350 -4.514 -5.633
N -0.616 -2.358 -2.871
N -3.714 -3.794 -2.580
Cr 0.000 0.000 0.000
Cr -4.590 -2.110 -2.532
N -3.545 -0.776 -1.675
Sc -1.709 -0.546 -2.712
Sc -2.022 -3.611 -3.847